# Ac4W6O19 | Alexandria via LeMat-Bulk | PBE with a Hubbard U | relaxed
data_Ac4W6O19
_chemical_formula_sum 'Ac4 W6 O19'
_space_group_name_H-M_alt 'P 1'
_space_group_IT_number 1
_space_group_name_Hall 'P 1'
_cell_length_a 8.1085
_cell_length_b 8.1085
_cell_length_c 8.1085
_cell_angle_alpha 109.47
_cell_angle_beta 109.47
_cell_angle_gamma 109.47
loop_
_atom_site_label
_atom_site_type_symbol
_atom_site_fract_x
_atom_site_fract_y
_atom_site_fract_z
_atom_site_occupancy
O1 O 0.6296 0.3123 0.2598 1
O2 O 0.3123 0.2598 0.6296 1
O3 O 0.9474 0.6877 0.3173 1
O4 O 0.6877 0.3173 0.9474 1
O5 O 0.3699 0.7402 0.0526 1
O6 O 0.3259 0.0000 0.3259 1
O7 O 0.0000 0.6741 0.6741 1
O8 O 0.3704 0.6301 0.6827 1
O9 O 0.6827 0.3704 0.6301 1
O10 O 0.0000 0.3259 0.3259 1
O11 O 0.3173 0.9474 0.6877 1
O12 O 0.0000 0.0000 0.0000 1
O13 O 0.7402 0.0526 0.3699 1
O14 O 0.0526 0.3699 0.7402 1
O15 O 0.3259 0.3259 0.0000 1
O16 O 0.6741 0.0000 0.6741 1
O17 O 0.6301 0.6827 0.3704 1
O18 O 0.2598 0.6296 0.3123 1
O19 O 0.6741 0.6741 0.0000 1
Ac1 Ac 0.0000 0.0000 0.6851 1
Ac2 Ac 0.0000 0.6851 0.0000 1
Ac3 Ac 0.6851 0.0000 0.0000 1
Ac4 Ac 0.3149 0.3149 0.3149 1
W1 W 0.5000 0.1384 0.6384 1
W2 W 0.3616 0.5000 0.8616 1
W3 W 0.1384 0.6384 0.5000 1
W4 W 0.8616 0.3616 0.5000 1
W5 W 0.6384 0.5000 0.1384 1
W6 W 0.5000 0.8616 0.3616 1
# crystal system	cubic
# total moment	0.14	μB/atom
# E_tot	-7.760	eV per atom
# density of states at the Fermi level	2.4	states/eV/f.u.
# symmetry	No. 197